Record 1
# KTlPt2Se

A relaxed structure of KTlPt2Se (PBE-GGA, the Alexandria database).

a = 4.8379 Å, b = 4.8379 Å, c = 5.7596 Å
α = 90.00°, β = 90.00°, γ = 90.00°
Space group P4/mmm (No. 123)
Asymmetric unit:
K 0.0000 0.0000 0.0000 x1
Tl 0.5000 0.5000 0.0000 x1
Pt 0.0000 0.5000 0.5000 x2
Se 0.0000 0.0000 0.5000 x1

Properties
* volume: 27.0 Å³ per atom
* ΔE_f (raw): 119 meV per atom

=====

Record 2
# KU4Pt3Se12

A relaxed structure of KU4Pt3Se12 (PBE-GGA, the Alexandria database).

a = 10.2687 Å, b = 10.2687 Å, c = 10.2687 Å
α = 90.00°, β = 90.00°, γ = 90.00°
Space group Im-3 (No. 204)
Asymmetric unit:
K 0.0000 0.0000 0.0000 x2
U 0.2500 0.2500 0.2500 x8
Pt 0.0000 0.0000 0.5000 x6
Se 0.0000 0.1621 0.3199 x24

Properties
* volume: 27.1 Å³ per atom
* ΔE_f (raw): -736 meV per atom

=====

Record 3
# K2UPt2Se6

A relaxed structure of K2UPt2Se6 (PBE-GGA, the Alexandria database).

a = 6.5419 Å, b = 11.3785 Å, c = 8.3638 Å
α = 90.00°, β = 104.45°, γ = 90.00°
Space group C2/m (No. 12)
Asymmetric unit:
K 0.0000 0.1614 0.0000 x4
U 0.0000 0.0000 0.5000 x2
Pt 0.0000 0.3324 0.5000 x4
Se 0.2042 0.5000 0.6889 x4
Se 0.2354 0.1763 0.6897 x8

Properties
* volume: 27.4 Å³ per atom
* ΔE_f (raw): -766 meV per atom

=====

Record 4
# KUPtSe4

A relaxed structure of KUPtSe4 (PBE-GGA, the Alexandria database).

a = 6.6388 Å, b = 6.3268 Å, c = 9.2371 Å
α = 90.00°, β = 105.33°, γ = 90.00°
Space group P2_1/m (No. 11)
Asymmetric unit:
K 0.2291 0.2500 0.0346 x2
U 0.2441 0.2500 0.5450 x2
Pt 0.2422 0.7500 0.3860 x2
Se 0.0296 0.5167 0.7072 x4
Se 0.4555 0.7500 0.1927 x2
Se 0.4799 0.7500 0.6314 x2

Properties
* volume: 26.7 Å³ per atom
* ΔE_f (raw): -822 meV per atom

=====

Record 5
# K2UPtSe4

A relaxed structure of K2UPtSe4 (PBE-GGA, the Alexandria database).

a = 6.2565 Å, b = 14.3945 Å, c = 24.3933 Å
α = 90.00°, β = 90.00°, γ = 90.00°
Space group Fddd (No. 70, origin choice 2)
Asymmetric unit:
K 0.1250 0.1250 0.3090 x16
U 0.1250 0.1250 0.1250 x8
Pt 0.1250 0.1250 0.6250 x8
Se 0.1133 0.2647 0.8213 x32

Properties
* volume: 34.3 Å³ per atom
* ΔE_f (raw): -758 meV per atom

=====

Record 6
# K3U3PtSe8

A relaxed structure of K3U3PtSe8 (PBE-GGA, the Alexandria database).

a = 13.8612 Å, b = 8.1397 Å, c = 9.1819 Å
α = 90.00°, β = 119.76°, γ = 90.00°
Space group C2/m (No. 12)
Asymmetric unit:
K 0.0000 0.0000 0.0000 x2
K 0.2500 0.2500 0.0000 x4
U 0.0000 0.5000 0.5000 x2
U 0.2500 0.2500 0.5000 x4
Pt 0.0000 0.0000 0.5000 x2
Se 0.0165 0.2503 0.2976 x8
Se 0.2172 0.0000 0.6909 x4
Se 0.2374 0.5000 0.7117 x4

Properties
* volume: 30.0 Å³ per atom
* ΔE_f (raw): -1045 meV per atom

=====

Record 7
# K2SiPt

A relaxed structure of K2SiPt (PBE-GGA, the Alexandria database).

a = 3.0069 Å, b = 5.3185 Å, c = 5.6998 Å
α = 90.00°, β = 90.05°, γ = 90.00°
Space group P2/m (No. 10)
Asymmetric unit:
K 0.0035 0.0000 0.2541 x2
Si 0.5000 0.5000 0.0000 x1
Pt 0.5000 0.5000 0.5000 x1

Properties
* volume: 22.8 Å³ per atom
* ΔE_f (raw): 358 meV per atom

=====

Record 8
# KSiPt3

A relaxed structure of KSiPt3 (PBE-GGA, the Alexandria database).

a = 4.9217 Å, b = 4.9217 Å, c = 4.9217 Å
α = 90.00°, β = 90.00°, γ = 90.00°
Space group Pm-3m (No. 221)
Asymmetric unit:
K 0.0000 0.0000 0.0000 x1
Si 0.5000 0.5000 0.5000 x1
Pt 0.0000 0.0000 0.5000 x3

Properties
* energy above the lowest structure with this stoichiometry: 2600 meV per atom
* volume: 23.8 Å³ per atom
* ΔE_f (raw): 2206 meV per atom

=====

Record 9
# K2SiPt

A relaxed structure of K2SiPt (PBE-GGA, the Alexandria database).

a = 5.7006 Å, b = 10.6270 Å, c = 3.0051 Å
α = 90.00°, β = 90.00°, γ = 90.00°
Space group Cmmm (No. 65)
Asymmetric unit:
K 0.2500 0.2500 0.0000 x4
Si 0.0000 0.0000 0.5000 x2
Pt 0.0000 0.5000 0.5000 x2

Properties
* volume: 22.8 Å³ per atom
* ΔE_f (raw): 356 meV per atom

=====

Record 10
# K2SiPt2

A relaxed structure of K2SiPt2 (PBE-GGA, the Alexandria database).

a = 9.4852 Å, b = 9.4852 Å, c = 2.7147 Å
α = 90.00°, β = 90.00°, γ = 90.00°
Space group P4/mbm (No. 127)
Asymmetric unit:
K 0.1225 0.3775 0.0000 x4
Si 0.0000 0.0000 0.0000 x2
Pt 0.1778 0.6778 0.5000 x4

Properties
* energy above the lowest structure with this stoichiometry: 1026 meV per atom
* volume: 24.4 Å³ per atom
* ΔE_f (raw): 630 meV per atom

=====

Record 11
# K2SiPt2

A relaxed structure of K2SiPt2 (PBE-GGA, the Alexandria database).

a = 6.3344 Å, b = 6.3344 Å, c = 5.6528 Å
α = 90.00°, β = 90.00°, γ = 90.00°
Space group P4/mbm (No. 127)
Asymmetric unit:
K 0.1747 0.3253 0.0000 x4
Si 0.0000 0.0000 0.5000 x2
Pt 0.1507 0.6507 0.5000 x4

Properties
* energy above the lowest structure with this stoichiometry: 136 meV per atom
* volume: 22.7 Å³ per atom
* ΔE_f (raw): -260 meV per atom

=====

Record 12
# KSiPt2

A relaxed structure of KSiPt2 (PBE-GGA, the Alexandria database).

a = 7.4798 Å, b = 7.4798 Å, c = 6.7686 Å
α = 90.00°, β = 90.00°, γ = 90.00°
Space group I-42d (No. 122)
Asymmetric unit:
K 0.0000 0.0000 0.0000 x4
Si 0.0000 0.0000 0.5000 x4
Pt 0.1394 0.2500 0.6250 x8

Properties
* volume: 23.7 Å³ per atom
* ΔE_f (raw): -183 meV per atom

=====

Record 13
# KSiPt2

A relaxed structure of KSiPt2 (PBE-GGA, the Alexandria database).

a = 3.1238 Å, b = 5.8239 Å, c = 9.5014 Å
α = 90.00°, β = 90.00°, γ = 90.00°
Space group Immm (No. 71)
Asymmetric unit:
K 0.0000 0.0000 0.0000 x2
Si 0.0000 0.0000 0.5000 x2
Pt 0.0000 0.5000 0.1784 x4

Properties
* volume: 21.6 Å³ per atom
* ΔE_f (raw): -119 meV per atom

=====

Record 14
# KSiPt2

A relaxed structure of KSiPt2 (PBE-GGA, the Alexandria database).

a = 2.8311 Å, b = 4.0010 Å, c = 7.1632 Å
α = 90.00°, β = 90.00°, γ = 90.00°
Space group Pmm2 (No. 25)
Asymmetric unit:
K 0.0000 0.0000 0.0000 x1
Si 0.5000 0.5000 0.6464 x1
Pt 0.0000 0.0000 0.5278 x1
Pt 0.5000 0.5000 0.3166 x1

Properties
* volume: 20.3 Å³ per atom
* ΔE_f (raw): -139 meV per atom

=====

Record 15
# KSiPt4

A relaxed structure of KSiPt4 (PBE-GGA, the Alexandria database).

a = 7.6280 Å, b = 7.6280 Å, c = 7.6280 Å
α = 90.00°, β = 90.00°, γ = 90.00°
Space group F-43m (No. 216)
Asymmetric unit:
K 0.0000 0.0000 0.0000 x4
Si 0.2500 0.2500 0.2500 x4
Pt 0.1244 0.1244 0.6244 x16

Properties
* volume: 18.5 Å³ per atom
* ΔE_f (raw): 68 meV per atom

=====

Record 16
# K3Si4Pt

A relaxed structure of K3Si4Pt (PBE-GGA, the Alexandria database).

a = 6.5538 Å, b = 12.1553 Å, c = 5.8203 Å
α = 90.00°, β = 90.00°, γ = 90.00°
Space group Pmmn (No. 59, origin choice 2)
Asymmetric unit:
K 0.2500 0.0149 0.1659 x4
K 0.2500 0.2500 0.5631 x2
Si 0.0579 0.7500 0.9492 x4
Si 0.2500 0.6453 0.6653 x4
Pt 0.2500 0.7500 0.3086 x2

Properties
* volume: 29.0 Å³ per atom
* ΔE_f (raw): -206 meV per atom

=====

Record 17
# KSiPt2

A relaxed structure of KSiPt2 (PBE-GGA, the Alexandria database).

a = 7.0122 Å, b = 7.0367 Å, c = 2.8380 Å
α = 90.00°, β = 90.00°, γ = 90.00°
Space group Cmmm (No. 65)
Asymmetric unit:
K 0.0000 0.0000 0.0000 x2
Si 0.0000 0.5000 0.0000 x2
Pt 0.2500 0.2500 0.5000 x4

Properties
* volume: 17.5 Å³ per atom
* ΔE_f (raw): 285 meV per atom

=====

Record 18
# KSiPt2

A relaxed structure of KSiPt2 (PBE-GGA, the Alexandria database).

a = 6.6725 Å, b = 6.6725 Å, c = 6.6725 Å
α = 90.00°, β = 90.00°, γ = 90.00°
Space group F-43m (No. 216)
Asymmetric unit:
K 0.0000 0.0000 0.0000 x4
Si 0.2500 0.2500 0.2500 x4
Pt 0.0000 0.0000 0.5000 x4
Pt 0.2500 0.2500 0.7500 x4

Properties
* volume: 18.6 Å³ per atom
* ΔE_f (raw): 473 meV per atom

=====

Record 19
# KSiPt2

A relaxed structure of KSiPt2 (PBE-GGA, the Alexandria database).

a = 4.1836 Å, b = 4.1836 Å, c = 18.6936 Å
α = 90.00°, β = 90.00°, γ = 120.00°
Space group R-3m (No. 166, hexagonal axes)
Asymmetric unit:
K 0.0000 0.0000 0.0000 x3
Si 0.0000 0.0000 0.5000 x3
Pt 0.0000 0.0000 0.1978 x6

Properties
* volume: 23.6 Å³ per atom
* ΔE_f (raw): -439 meV per atom

=====

Record 20
# KSiPt2

A relaxed structure of KSiPt2 (PBE-GGA, the Alexandria database).

a = 2.7885 Å, b = 5.1502 Å, c = 10.5584 Å
α = 90.00°, β = 90.00°, γ = 90.00°
Space group Imm2 (No. 44)
Asymmetric unit:
K 0.0000 0.0000 0.0000 x2
Si 0.0000 0.5000 0.2212 x2
Pt 0.0000 0.0000 0.5357 x2
Pt 0.0000 0.5000 0.7969 x2

Properties
* volume: 19.0 Å³ per atom
* ΔE_f (raw): -15 meV per atom

=====

Record 21
# KSiPt3

A relaxed structure of KSiPt3 (PBE-GGA, the Alexandria database).

a = 4.6735 Å, b = 4.6735 Å, c = 4.6735 Å
α = 90.00°, β = 90.00°, γ = 90.00°
Space group Pm-3m (No. 221)
Asymmetric unit:
K 0.0000 0.0000 0.0000 x1
Si 0.5000 0.5000 0.5000 x1
Pt 0.0000 0.5000 0.5000 x3

Properties
* energy above the lowest structure with this stoichiometry: 338 meV per atom
* volume: 20.4 Å³ per atom
* ΔE_f (raw): -56 meV per atom

=====

Record 22
# KSiPt2

A relaxed structure of KSiPt2 (PBE-GGA, the Alexandria database).

a = 2.9748 Å, b = 2.9748 Å, c = 8.3900 Å
α = 90.00°, β = 90.00°, γ = 90.00°
Space group P4/mmm (No. 123)
Asymmetric unit:
K 0.0000 0.0000 0.0000 x1
Si 0.0000 0.0000 0.5000 x1
Pt 0.5000 0.5000 0.3284 x2

Properties
* volume: 18.6 Å³ per atom
* ΔE_f (raw): -304 meV per atom

=====

Record 23
# K2SiPt

A relaxed structure of K2SiPt (PBE-GGA, the Alexandria database).

a = 3.9471 Å, b = 5.7602 Å, c = 10.6268 Å
α = 90.00°, β = 90.00°, γ = 90.00°
Space group Imm2 (No. 44)
Asymmetric unit:
K 0.0000 0.0000 0.0000 x2
K 0.0000 0.5000 0.1866 x2
Si 0.0000 0.0000 0.3985 x2
Pt 0.0000 0.5000 0.7909 x2

Properties
* volume: 30.2 Å³ per atom
* ΔE_f (raw): -245 meV per atom

=====

Record 24
# KSi4Pt

A relaxed structure of KSi4Pt (PBE-GGA, the Alexandria database).

a = 7.5229 Å, b = 7.5229 Å, c = 7.5229 Å
α = 90.00°, β = 90.00°, γ = 90.00°
Space group F-43m (No. 216)
Asymmetric unit:
K 0.0000 0.0000 0.0000 x4
Si 0.1240 0.1240 0.3760 x16
Pt 0.2500 0.2500 0.7500 x4

Properties
* volume: 17.7 Å³ per atom
* ΔE_f (raw): 507 meV per atom

=====

Record 25
# K2SiPt2

A relaxed structure of K2SiPt2 (PBE-GGA, the Alexandria database).

a = 9.4224 Å, b = 7.0364 Å, c = 7.3240 Å
α = 90.00°, β = 96.38°, γ = 90.00°
Space group C2/c (No. 15)
Asymmetric unit:
K 0.1406 0.1186 0.1150 x8
Si 0.0000 0.4737 0.7500 x4
Pt 0.1298 0.3615 0.5085 x8

Properties
* energy above the lowest structure with this stoichiometry: 0 meV per atom
* volume: 24.1 Å³ per atom
* ΔE_f (raw): -396 meV per atom

=====

| no. | spin magnetization (μB/atom) |
| --- | --- |
| 1 | 0.0000 |
| 2 | 0.3502 |
| 3 | 0.0869 |
| 4 | 0.0298 |
| 5 | 0.0057 |
| 6 | 0.4627 |
| 7 | 0.0000 |
| 8 | 0.0000 |
| 9 | 0.0000 |
| 10 | 0.0583 |
| 11 | 0.0000 |
| 12 | 0.0000 |
| 13 | 0.0000 |
| 14 | 0.0000 |
| 15 | 0.0000 |
| 16 | 0.0000 |
| 17 | 0.0000 |
| 18 | 0.0000 |
| 19 | 0.0000 |
| 20 | 0.0000 |
| 21 | 0.0000 |
| 22 | 0.0000 |
| 23 | 0.0000 |
| 24 | 0.0000 |
| 25 | 0.0000 |